Record 1
{
  "formula": "PbAu3N",
  "functional": "GGA-PBE",
  "state": "relaxed",
  "de_polymorph_kj_per_mol_fu": 0.0,
  "e_form_raw_ev_per_atom": 0.6532,
  "lattice_angstrom": [[-1.228, -0.947, 4.329], [-4.280, -0.913, -1.414], [1.150, -4.407, -0.637]],
  "species": ["Au", "Au", "Au", "N", "Pb"],
  "frac_coords": [[0.000, 0.000, 0.500], [0.000, 0.500, 0.000], [0.500, 0.000, 0.000], [0.000, 0.000, 0.000], [0.500, 0.500, 0.500]]
}

Record 2
{
  "formula": "PbAuN",
  "functional": "GGA-PBE",
  "state": "relaxed",
  "de_polymorph_kj_per_mol_fu": 132.3,
  "e_form_raw_ev_per_atom": 0.5419,
  "lattice_angstrom": [[3.633, -0.637, -0.343], [-0.764, 5.898, 0.854], [-3.041, 0.616, 6.787]],
  "species": ["Au", "Au", "Pb", "Pb", "N", "N"],
  "frac_coords": [[0.282, 0.851, 0.356], [0.718, 0.149, 0.644], [0.376, 0.349, 0.201], [0.624, 0.651, 0.799], [0.044, 0.413, 0.837], [0.956, 0.587, 0.163]]
}